First-principles (PBE) data for a relaxed structure of CsSnAu, as listed in OQMD via LeMat-Bulk.

Unit cell a=5.692 b=5.692 c=5.692 alpha=60.00 beta=60.00 gamma=60.00
Element x y z (fractional)
Cs 0.000 0.000 0.000
Sn 0.250 0.250 0.250
Au 0.750 0.750 0.750

Calculated values
E_tot, eV per atom: -1.967